(1)
The following is a DFT calculation (GGA-PBE) of crystalline PuCdAg at its relaxed geometry.

Cell: 3.1223 3.1223 7.2257 Å, 102.48 102.48 90.00°
Last column: nearest neighbours and their distance in Å.
Fractional coordinates of all 3 atoms:
Cd  0.3200  0.3200  0.6401  4 Ag 2.97, 4 Cd 3.12
Ag  0.6758  0.6758  0.3515  4 Cd 2.97, 4 Ag 3.12, 4 Pu 3.23
Pu  0.0042  0.0042  0.0084  4 Pu 3.12, 4 Ag 3.23, 4 Cd 3.36

Computed properties:
As for the crystal system: tetragonal. For the magnetization, the calculation gives 6.06 μB per cell. The value obtained for the energy relative to the elements is -0.02 eV per atom.

***

(2)
The following is a DFT calculation (GGA-PBE) of crystalline Ac2As2H4Rh at its relaxed geometry.

Cell: 5.9204 5.9204 5.9204 Å, 93.22 118.16 118.16°
Last column: nearest neighbours and their distance in Å.
Fractional coordinates of all 9 atoms:
Ac  0.5000  0.7500  0.2500  8 H 3.00, 4 As 3.11
Ac  0.5000  0.2500  0.7500  8 H 3.00, 4 As 3.11
As  0.0000  0.6709  0.6709  1 Rh 2.68, 1 As 2.78, 4 H 2.96
As  0.0000  0.3291  0.3291  1 Rh 2.68, 1 As 2.78, 4 H 2.96
H  0.0000  0.8032  0.1968  1 Rh 1.69
H  0.6064  0.8032  0.8032  1 Rh 1.69
H  0.0000  0.1968  0.8032  1 Rh 1.69
H  0.3936  0.1968  0.1968  1 Rh 1.69
Rh  0.0000  0.0000  0.0000  4 H 1.69

Computed properties:
As for the crystal system: tetragonal. The electronic total energy comes out at -43.33 eV per cell. For the magnetization, the calculation gives 0.00 μB per cell.

***

(3)
The following is a DFT calculation (GGA-PBE) of crystalline AcH2Pb at its relaxed geometry.

Cell: 4.0525 4.0525 6.4657 Å, 71.74 71.74 60.00°
Last column: nearest neighbours and their distance in Å.
Fractional coordinates of all 4 atoms:
Pb  0.5000  0.5000  0.5000  8 H 3.39-3.58
H  0.3020  0.3020  0.0939  3 Ac 2.41, 3 H 2.60
H  0.6980  0.6980  0.9061  3 Ac 2.41, 3 H 2.60
Ac  0.0000  0.0000  0.0000  6 H 2.41

Computed properties:
As for the crystal system: trigonal. The electronic total energy comes out at -15.66 eV per cell. For the magnetization, the calculation gives 0.00 μB per cell.

***

(4)
The following is a DFT calculation (GGA-PBE) of crystalline Y3PuPt12 at its relaxed geometry.

Cell: 4.1332 4.1332 16.5244 Å, 90.00 90.00 90.00°
Last column: nearest neighbours and their distance in Å.
Fractional coordinates of all 16 atoms:
Y  0.0000  0.0000  0.2519  12 Pt 2.91-2.95
Y  0.0000  0.0000  0.5000  12 Pt 2.91-2.92
Y  0.0000  0.0000  0.7481  12 Pt 2.91-2.95
Pu  0.0000  0.0000  0.0000  12 Pt 2.92
Pt  0.5000  0.5000  0.0000  8 Pt 2.92, 4 Pu 2.92
Pt  0.5000  0.5000  0.2510  8 Pt 2.92-2.93, 4 Y 2.92
Pt  0.5000  0.5000  0.5000  8 Pt 2.91, 4 Y 2.92
Pt  0.5000  0.5000  0.7490  8 Pt 2.92-2.93, 4 Y 2.92
Pt  0.5000  0.0000  0.1249  8 Pt 2.92-2.93, 2 Pu 2.92, 2 Y 2.95
Pt  0.5000  0.0000  0.3757  4 Y 2.91, 8 Pt 2.91-2.92
Pt  0.5000  0.0000  0.6243  4 Y 2.91, 8 Pt 2.91-2.92
Pt  0.5000  0.0000  0.8751  8 Pt 2.92-2.93, 2 Pu 2.92, 2 Y 2.95
Pt  0.0000  0.5000  0.1249  2 Pu 2.92, 8 Pt 2.92-2.93, 2 Y 2.95
Pt  0.0000  0.5000  0.3757  4 Y 2.91, 8 Pt 2.91-2.92
Pt  0.0000  0.5000  0.6243  4 Y 2.91, 8 Pt 2.91-2.92
Pt  0.0000  0.5000  0.8751  2 Pu 2.92, 8 Pt 2.92-2.93, 2 Y 2.95

Computed properties:
As for the crystal system: tetragonal. For the magnetization, the calculation gives 4.07 μB per cell. The value obtained for the energy relative to the elements is -0.92 eV per atom.

***

(5)
The following is a DFT calculation (GGA-PBE) of crystalline NaAl2H7 at its relaxed geometry.

Cell: 3.4152 5.3444 5.3444 Å, 118.06 90.00 90.00°
Last column: nearest neighbours and their distance in Å.
Fractional coordinates of all 10 atoms:
Na  0.0000  0.0000  0.0000  8 H 2.37
Al  0.5000  0.6939  0.3061  7 H 1.71-1.85
Al  0.5000  0.3061  0.6939  7 H 1.71-1.85
H  0.0000  0.7071  0.2929  2 Al 1.71
H  0.0000  0.2929  0.7071  2 Al 1.71
H  0.5000  0.0503  0.3282  2 Al 1.78-1.85
H  0.5000  0.9497  0.6718  2 Al 1.78-1.85
H  0.5000  0.3282  0.0503  2 Al 1.78-1.85
H  0.5000  0.6718  0.9497  2 Al 1.78-1.85
H  0.5000  0.5000  0.5000  2 Al 1.78

Computed properties:
As for the crystal system: orthorhombic. The electronic total energy comes out at -32.43 eV per cell. For the magnetization, the calculation gives 0.00 μB per cell.

***

(6)
The following is a DFT calculation (GGA-PBE) of crystalline Tm3Cu2Pb at its relaxed geometry.

Cell: 7.6815 7.6815 7.6815 Å, 57.33 57.33 57.33°
Last column: nearest neighbours and their distance in Å.
Fractional coordinates of all 12 atoms:
Tm  0.4703  0.0297  0.7500  4 Cu 2.85-2.94, 2 Pb 3.12
Tm  0.0297  0.7500  0.4703  4 Cu 2.85-2.94, 2 Pb 3.12
Tm  0.7500  0.4703  0.0297  4 Cu 2.85-2.94, 2 Pb 3.12
Tm  0.5297  0.9703  0.2500  4 Cu 2.85-2.94, 2 Pb 3.12
Tm  0.9703  0.2500  0.5297  4 Cu 2.85-2.94, 2 Pb 3.12
Tm  0.2500  0.5297  0.9703  4 Cu 2.85-2.94, 2 Pb 3.12
Cu  0.3528  0.3528  0.3528  1 Pb 2.82, 6 Tm 2.85-2.94
Cu  0.1472  0.1472  0.1472  1 Pb 2.82, 6 Tm 2.85-2.94
Cu  0.8528  0.8528  0.8528  1 Pb 2.82, 6 Tm 2.85-2.94
Cu  0.6472  0.6472  0.6472  1 Pb 2.82, 6 Tm 2.85-2.94
Pb  0.5000  0.5000  0.5000  2 Cu 2.82, 6 Tm 3.12
Pb  0.0000  0.0000  0.0000  2 Cu 2.82, 6 Tm 3.12

Computed properties:
As for the crystal system: trigonal. For the magnetization, the calculation gives 0.00 μB per cell. The value obtained for the energy relative to the elements is -0.13 eV per atom.